# 1
PBE K2TlSbSe4, optimized geometry; formation energy without anion corrections = -600 meV per atom; space-group type = Imma, No. 74; VASP energy = -3.428 eV/atom
1.0
8.7820 -0.0179 -0.0776
-0.0241 8.7820 -0.0776
-4.3472 -4.3502 6.2762
K Tl Sb Se
4 2 2 8
direct
0.5000 0.0000 0.0000
0.5000 0.0000 0.5000
0.0000 0.0000 0.5000
0.5000 0.5000 0.0000
0.0000 0.5000 0.0000
0.0000 0.5000 0.5000
0.5000 0.5000 0.5000
0.0000 0.0000 0.0000
0.2084 0.7354 0.9721
0.7646 0.2916 0.5279
0.2354 0.7084 0.4721
0.7916 0.2646 0.0279
0.7628 0.7369 0.9740
0.7631 0.7372 0.5260
0.2369 0.2628 0.4740
0.2372 0.2631 0.0260

# 2
PBE NaNbSeN2, optimized geometry; energy relative to the lowest polymorph listed for this composition = 0.0 meV/atom; formation energy without anion corrections = -38 meV per atom; space-group type = P4/mmm, No. 123; VASP energy = -6.343 eV/atom
1.0
4.0851 0.0000 0.0000
0.0000 4.0851 0.0000
0.0000 0.0000 5.3470
Na Nb Se N
1 1 1 2
direct
0.5000 0.5000 0.5000
0.0000 0.0000 0.0000
0.0000 0.0000 0.5000
0.0000 0.5000 0.0000
0.5000 0.0000 0.0000

# 3
PBE LaCr2Ru, optimized geometry; energy relative to the lowest polymorph listed for this composition = 96.7 meV/atom; formation energy from the elements = 0.41 eV/atom; space-group type = Cm, No. 8; VASP energy = -7.954 eV/atom
1.0
4.7742 0.0268 -0.0210
3.7622 2.9393 -0.0210
1.5681 0.5449 5.3852
Cr La Ru
2 1 1
direct
0.0023 0.0023 0.9992
0.7138 0.7138 0.8515
0.5072 0.5072 0.4913
0.2768 0.2768 0.1581

# 4
PBE NaScBr2, optimized geometry; energy relative to the lowest polymorph listed for this composition = 50.4 meV/atom; formation energy without anion corrections = -1040 meV per atom; space-group type = R-3m, No. 166; VASP energy = -3.789 eV/atom
1.0
2.2807 0.0000 8.7952
-1.1404 1.9752 8.7952
-1.1404 -1.9752 8.7952
Sc Na Br
1 1 2
direct
0.0000 0.0000 0.0000
0.5000 0.5000 0.5000
0.9011 0.9011 0.9011
0.0989 0.0989 0.0989